Computed, not measured: a relaxed BiMo4SN2 crystal at the PBE-GGA level of DFT.

```
BiMo4SN2
1.0
3.334 0.000 0.000
-1.667 2.887 0.000
0.000 0.000 12.262
Bi Mo S N
1 4 1 2
Cartesian
0.000 0.000 0.000 Bi
0.000 0.000 4.556 Mo
0.000 0.000 7.706 Mo
1.667 0.962 2.556 Mo
1.667 0.962 9.706 Mo
1.667 0.962 6.131 S
0.000 1.925 3.139 N
0.000 1.925 9.123 N
```

E in eV per cell: -68.14
Crystal system: hexagonal
SG: P-6m2
ρ in Mg/m³: 9.186
Magnetic moment in μB/f.u.: 0.0